Run A
Hf2WCl2 PBE optimized geometry; space group = P4/mbm (127); spin magnetization = 0.00 μB/atom; mass density = 11.26 g cm⁻³
1.0
7.868 0.000 0.000
0.000 7.868 0.000
0.000 0.000 2.916
Hf W Cl
4 2 4
Direct
0.190 0.310 0.000
0.310 0.810 0.000
0.690 0.190 0.000
0.810 0.690 0.000
0.000 0.000 0.500
0.500 0.500 0.500
0.121 0.621 0.500
0.379 0.121 0.500
0.621 0.879 0.500
0.879 0.379 0.500

Run B
Hf2WCl2 PBE optimized geometry; space group = I4/mmm (139); spin magnetization = 0.00 μB/atom; mass density = 10.87 g cm⁻³
1.0
-2.520 2.520 3.681
2.520 -2.520 3.681
2.520 2.520 -3.681
Hf W Cl
2 1 2
Direct
0.250 0.750 0.500
0.750 0.250 0.500
0.000 0.000 0.000
0.323 0.323 0.000
0.677 0.677 0.000

Most stable: run B

Run A
Y2HfCl PBE optimized geometry; space group = R-3m (166); spin magnetization = 0.00 μB/atom; mass density = 6.37 g cm⁻³
1.0
1.645 0.950 10.892
-1.645 0.950 10.892
0.000 -1.899 10.892
Y Hf Cl
2 1 1
Direct
0.098 0.098 0.098
0.902 0.902 0.902
0.000 0.000 0.000
0.500 0.500 0.500

Run B
Y2HfCl PBE optimized geometry; space group = I-42d (122); spin magnetization = 0.00 μB/atom; mass density = 6.09 g cm⁻³
1.0
-4.165 4.165 3.079
4.165 -4.165 3.079
4.165 4.165 -3.079
Y Hf Cl
4 2 2
Direct
0.052 0.625 0.927
0.375 0.302 0.427
0.698 0.125 0.073
0.875 0.948 0.573
0.250 0.750 0.500
0.500 0.500 0.000
0.000 0.000 0.000
0.750 0.250 0.500

Run C
Y2HfCl PBE optimized geometry; space group = Fm-3m (225); spin magnetization = 0.55 μB/atom; mass density = 6.00 g cm⁻³
1.0
0.000 3.786 3.786
3.786 0.000 3.786
3.786 3.786 0.000
Y Hf Cl
2 1 1
Direct
0.250 0.250 0.250
0.750 0.750 0.750
0.000 0.000 0.000
0.500 0.500 0.500

Most stable: run A

Run A
YHf3Cl PBE optimized geometry; space group = Pm-3m (221); spin magnetization = 0.00 μB/atom; mass density = 7.29 g cm⁻³
1.0
5.317 0.000 0.000
0.000 5.317 0.000
0.000 0.000 5.317
Y Hf Cl
1 3 1
Direct
0.000 0.000 0.000
0.000 0.000 0.500
0.000 0.500 0.000
0.500 0.000 0.000
0.500 0.500 0.500

Run B
YHf3Cl PBE optimized geometry; space group = Pm-3m (221); spin magnetization = 0.00 μB/atom; mass density = 9.46 g cm⁻³
1.0
4.874 0.000 0.000
0.000 4.874 0.000
0.000 0.000 4.874
Y Hf Cl
1 3 1
Direct
0.000 0.000 0.000
0.000 0.500 0.500
0.500 0.000 0.500
0.500 0.500 0.000
0.500 0.500 0.500

Most stable: run B